1.
First-principles (PBEsol) data for crystalline ScHg2 at its relaxed geometry, as listed in Alexandria.

Computed properties:
Energy of formation from the pure elements: -0.36 eV/atom
Magnetization: 0.0 μB/f.u.
Fermi-level density of states: 2.1 states/eV/f.u.

a b c (Å): 4.285 5.906 6.084
angles (deg): 115.84 90.00 111.27
Positions (direct):
Sc (0.829, 0.659, 0.896)
Hg (0.487, 0.975, 0.234)
Hg (0.158, 0.316, 0.587)
Hg (0.513, 0.025, 0.766)
Hg (0.842, 0.684, 0.413)
Sc (0.171, 0.341, 0.104)

2.
First-principles (PBEsol) data for crystalline In2CoI2 at its relaxed geometry, as listed in Alexandria.

Computed properties:
Magnetization: 1.4 μB/f.u.
Formation energy without anion corrections: 0.415 eV per atom
Fermi-level density of states: 6.3 states/eV/f.u.

a b c (Å): 6.251 6.251 6.251
angles (deg): 82.91 64.00 116.00
Each line ends with the local moment (μB).
Positions (direct):
In (0.500, 0.750, 0.750)  -0.02
I (0.000, 0.712, 0.288)  0.01
I (0.000, 0.288, 0.712)  0.01
Co (0.000, 0.000, 0.000)  1.51
In (0.500, 0.250, 0.250)  -0.02

3.
First-principles (PBEsol) data for crystalline LaInNi at its relaxed geometry, as listed in Alexandria.

Computed properties:
Energy of formation from the pure elements: -0.34 eV/atom
Magnetization: 0.0 μB/f.u.
Fermi-level density of states: 2.8 states/eV/f.u.

a b c (Å): 3.823 4.545 4.545
angles (deg): 120.00 90.00 90.00
Positions (direct):
In (0.167, 0.000, 0.000)
La (0.667, 0.667, 0.333)
Ni (0.167, 0.333, 0.667)

4.
First-principles (PBEsol) data for crystalline Cd3NiSb at its relaxed geometry, as listed in Alexandria.

Computed properties:
Magnetization: 0.8 μB/f.u.
Formation energy without anion corrections: 1.138 eV per atom
Fermi-level density of states: 10.4 states/eV/f.u.

a b c (Å): 5.469 5.469 5.469
angles (deg): 90.00 90.00 90.00
Each line ends with the local moment (μB).
Positions (direct):
Ni (0.500, 0.500, 0.500)  0.91
Cd (0.000, 0.000, 0.500)  0.00
Cd (0.500, 0.000, 0.000)  0.00
Cd (0.000, 0.500, 0.000)  0.00
Sb (0.000, 0.000, 0.000)  -0.01

5.
First-principles (PBEsol) data for crystalline K2YPb at its relaxed geometry, as listed in Alexandria.

Computed properties:
Energy of formation from the pure elements: -0.05 eV/atom
Magnetization: 0.0 μB/f.u.
Fermi-level density of states: 2.7 states/eV/f.u.

a b c (Å): 3.854 4.525 10.032
angles (deg): 90.00 90.07 90.00
Positions (direct):
Pb (0.997, 0.000, 0.570)
K (0.999, 0.000, 0.954)
Y (0.497, 0.500, 0.663)
K (0.506, 0.500, 0.313)

6.
First-principles (PBEsol) data for crystalline SrLaFeRuO6 at its relaxed geometry, as listed in Alexandria.

Computed properties:
Magnetization: 7.1 μB/f.u.
Formation energy without anion corrections: -2.142 eV per atom
Fermi-level density of states: 2.7 states/eV/f.u.

a b c (Å): 5.540 5.544 7.808
angles (deg): 90.00 89.99 90.00
Each line ends with the local moment (μB).
Positions (direct):
O (0.431, 0.257, 0.251)  0.19
La (0.993, 0.217, 0.250)  0.03
Sr (0.504, 0.723, 0.250)  0.01
O (0.722, 0.975, 0.469)  0.19
O (0.931, 0.743, 0.751)  0.19
Ru (0.000, 0.750, 0.000)  1.74
O (0.783, 0.463, 0.464)  0.19
Fe (0.000, 0.748, 0.500)  3.79
Ru (0.500, 0.250, 0.500)  1.74
O (0.725, 0.972, 0.031)  0.19
Sr (0.004, 0.277, 0.750)  0.01
O (0.556, 0.238, 0.749)  0.20
Fe (0.500, 0.252, 0.000)  3.79
O (0.287, 0.533, 0.536)  0.19
O (0.283, 0.537, 0.965)  0.19
O (0.056, 0.762, 0.249)  0.20
O (0.225, 0.028, 0.531)  0.19
La (0.493, 0.783, 0.750)  0.03
O (0.222, 0.025, 0.969)  0.19
O (0.787, 0.467, 0.036)  0.19

7.
First-principles (PBEsol) data for crystalline Mg2TlPb at its relaxed geometry, as listed in Alexandria.

Computed properties:
Energy of formation from the pure elements: -0.02 eV/atom
Relative energy among the computed polymorphs: 0.065 eV per atom
Magnetization: 0.0 μB/f.u.
Fermi-level density of states: 1.6 states/eV/f.u.

a b c (Å): 3.350 3.350 9.097
angles (deg): 90.00 90.00 90.00
Positions (direct):
Mg (0.000, 0.000, 0.009)
Mg (0.500, 0.500, 0.239)
Tl (0.500, 0.500, 0.770)
Pb (0.000, 0.000, 0.482)

8.
First-principles (PBEsol) data for crystalline Zn2CrMo at its relaxed geometry, as listed in Alexandria.

Computed properties:
Energy of formation from the pure elements: 0.21 eV/atom
Relative energy among the computed polymorphs: 0.016 eV per atom
Magnetization: 0.0 μB/f.u.
Fermi-level density of states: 2.0 states/eV/f.u.

a b c (Å): 2.541 4.562 4.835
angles (deg): 94.87 90.00 106.17
Positions (direct):
Zn (0.249, 0.498, 0.762)
Mo (0.747, 0.494, 0.269)
Zn (0.998, 0.996, 0.984)
Cr (0.506, 0.012, 0.485)

9.
First-principles (PBEsol) data for crystalline IrW2Br at its relaxed geometry, as listed in Alexandria.

Computed properties:
Relative energy among the computed polymorphs: 0.693 eV per atom
Magnetization: 0.0 μB/f.u.
Formation energy without anion corrections: 1.176 eV per atom
Fermi-level density of states: 3.2 states/eV/f.u.

a b c (Å): 3.828 3.828 5.123
angles (deg): 111.94 111.94 90.00
Positions (direct):
W (0.750, 0.250, 0.500)
W (0.250, 0.750, 0.500)
Ir (0.000, 0.000, 0.000)
Br (0.500, 0.500, 0.000)

10.
First-principles (PBEsol) data for crystalline BaMgSi3 at its relaxed geometry, as listed in Alexandria.

Computed properties:
Magnetization: 0.0 μB/f.u.
Formation energy without anion corrections: 1.649 eV per atom
Fermi-level density of states: 4.6 states/eV/f.u.

a b c (Å): 5.482 5.482 5.482
angles (deg): 90.00 90.00 90.00
Positions (direct):
Si (0.000, 0.000, 0.500)
Mg (0.500, 0.500, 0.500)
Ba (0.000, 0.000, 0.000)
Si (0.000, 0.500, 0.000)
Si (0.500, 0.000, 0.000)

11.
First-principles (PBEsol) data for crystalline CuNiPO2 at its relaxed geometry, as listed in Alexandria.

Computed properties:
Magnetization: 1.8 μB/f.u.
Formation energy without anion corrections: 0.461 eV per atom
Fermi-level density of states: 4.0 states/eV/f.u.

a b c (Å): 3.546 3.546 4.841
angles (deg): 90.00 90.00 90.00
Each line ends with the local moment (μB).
Positions (direct):
P (0.000, 0.000, 0.500)  0.08
Cu (0.000, 0.000, 0.000)  0.08
Ni (0.500, 0.500, 0.500)  0.72
O (0.000, 0.500, 0.000)  0.36
O (0.500, 0.000, 0.000)  0.36

12.
First-principles (PBEsol) data for crystalline K3TeH at its relaxed geometry, as listed in Alexandria.

Computed properties:
Relative energy among the computed polymorphs: 0.000 eV per atom
Magnetization: 0.0 μB/f.u.
Fermi-level density of states: 0.0 states/eV/f.u.

a b c (Å): 5.267 5.267 5.267
angles (deg): 90.00 90.00 90.00
Positions (direct):
K (0.000, 0.500, 0.000)
Te (0.500, 0.500, 0.500)
K (0.000, 0.000, 0.500)
H (0.000, 0.000, 0.000)
K (0.500, 0.000, 0.000)